This record from Alexandria describes an optimized crystal structure of TlHg2F4. The functional is PBE.

## Properties
- Formation energy (no corrections): -1429 meV per atom
- Total energy: -2.9228 eV/atom
- Space group: P1, No. 1
- Polymorph energy (0 for the lowest one): 0.007 eV/atom

```
TlHg2F4
1.0
-0.906 4.235 -6.479
-6.403 1.482 4.524
5.755 1.419 2.688
Tl Hg F
2 4 8
Cartesian
-2.160 2.746 3.701 Tl
-5.902 1.768 4.246 Tl
1.942 4.413 -0.537 Hg
-4.615 4.303 0.559 Hg
-1.444 3.667 -2.285 Hg
1.850 2.159 2.939 Hg
-0.103 4.352 -4.238 F
-3.074 2.675 1.291 F
-0.047 5.442 -1.466 F
2.635 4.829 -3.116 F
0.720 2.772 -1.761 F
2.186 2.189 0.658 F
0.143 3.705 2.687 F
-4.512 4.910 -1.641 F
```